Here is a relaxed structure of Hf2VC from the Alexandria database. Energies are from GGA-PBE.

## Properties
Density in g/cm³: 10.2
Formation energy from the elements in eV/atom: 0.034
Energy above the most stable polymorph in this dataset in eV/f.u.: 0.09

a b c (Å): 3.1546 3.1546 23.7586
angles (deg): 90.00 90.00 120.00
Space group R-3m (No. 166, hexagonal axes)
Asymmetric unit:
1 Hf 0.0000 0.0000 0.1124 x6
2 V 0.0000 0.0000 0.0000 x3
3 C 0.0000 0.0000 0.5000 x3